The following is a PBE calculation of a relaxed structure of KMnTcS3, from Alexandria.

The space group is P2_1/m (No. 11) and the conventional cell measures 8.196, 3.332 and 9.289 Å, with angles of 90.00, 111.53 and 90.00 degrees. The distinct sites, in fractional coordinates, are K at (0.000, 0.250, 0.236), Mn at (0.442, 0.250, 0.100), Tc at (0.494, 0.750, 0.366), S at (0.257, 0.750, 0.121), S at (0.304, 0.750, 0.500) and S at (0.347, 0.250, 0.831).

The calculation puts the formation energy without anion corrections at -0.706 eV per atom. The raw total energy comes out at -0.4563 Ry/atom.



The following is a PBE calculation of a relaxed structure of K2MnTeS4, from Alexandria.

The space group is C2/c (No. 15) and the conventional cell measures 11.811, 11.061 and 8.181 Å, with angles of 90.00, 131.02 and 90.00 degrees. The distinct sites, in fractional coordinates, are K at (0.000, 0.000, 0.000), K at (0.250, 0.250, 0.000), Mn at (0.000, 0.500, 0.000), Te at (0.250, 0.250, 0.500), S at (0.031, 0.286, 0.511) and S at (0.196, 0.484, 0.382).

The calculation puts the formation energy without anion corrections at -0.571 eV per atom. The raw total energy comes out at -0.3269 Ry/atom.



The following is a PBE calculation of a relaxed structure of K2Ti2MnS6, from Alexandria.

The space group is C2/m (No. 12) and the conventional cell measures 6.024, 10.386 and 7.859 Å, with angles of 90.00, 105.54 and 90.00 degrees. The distinct sites, in fractional coordinates, are K at (0.000, 0.170, 0.000), Ti at (0.000, 0.331, 0.500), Mn at (0.000, 0.000, 0.500), S at (0.227, 0.159, 0.683) and S at (0.240, 0.500, 0.681).

The calculation puts the formation energy without anion corrections at -1.174 eV per atom. The raw total energy comes out at -0.4332 Ry/atom.



The following is a PBE calculation of a relaxed structure of KTiMnS3, from Alexandria.

The space group is Cmcm (No. 63) and the conventional cell measures 3.649, 14.525 and 9.575 Å, with angles of 90.00, 90.00 and 90.00 degrees. The distinct sites, in fractional coordinates, are K at (0.000, 0.244, 0.250), Ti at (0.000, 0.500, 0.000), Mn at (0.000, 0.035, 0.750), S at (0.000, 0.116, 0.547) and S at (0.000, 0.437, 0.750).

The calculation puts the formation energy without anion corrections at -1.139 eV per atom. The raw total energy comes out at -0.4579 Ry/atom.



The following is a PBE calculation of a relaxed structure of K3Ti3MnS8, from Alexandria.

The space group is R-3m (No. 166, hexagonal axes) and the conventional cell measures 7.1798, 7.1798 and 22.2876 Å, with angles of 90.00, 90.00 and 120.00 degrees. The distinct sites, in fractional coordinates, are K at (0.0000, 0.5000, 0.0000), Ti at (0.0000, 0.5000, 0.5000), Mn at (0.0000, 0.0000, 0.5000), S at (0.0000, 0.0000, 0.2295) and S at (0.0045, 0.5022, 0.7725).

The calculation puts the formation energy without anion corrections at -1.236 eV per atom. The raw total energy comes out at -0.4298 Ry/atom.



The following is a PBE calculation of a relaxed structure of K2MnTlS4, from Alexandria.

The space group is Fddd (No. 70, origin choice 2) and the conventional cell measures 7.100, 12.456 and 22.813 Å, with angles of 90.00, 90.00 and 90.00 degrees. The distinct sites, in fractional coordinates, are K at (0.125, 0.125, 0.312), Mn at (0.125, 0.125, 0.625), Tl at (0.125, 0.125, 0.125) and S at (0.067, 0.281, 0.823).

The calculation puts the formation energy without anion corrections at -0.632 eV per atom. The raw total energy comes out at -0.3243 Ry/atom.



The following is a PBE calculation of a relaxed structure of K3Tm3MnS8, from Alexandria.

The space group is R-3m (No. 166, hexagonal axes) and the conventional cell measures 7.7362, 7.7362 and 22.4784 Å, with angles of 90.00, 90.00 and 120.00 degrees. The distinct sites, in fractional coordinates, are K at (0.0000, 0.5000, 0.0000), Tm at (0.0000, 0.5000, 0.5000), Mn at (0.0000, 0.0000, 0.5000), S at (0.0000, 0.0000, 0.2334) and S at (0.0311, 0.5155, 0.2279).

The calculation puts the formation energy without anion corrections at -1.563 eV per atom. The raw total energy comes out at -0.4035 Ry/atom.



The following is a PBE calculation of a relaxed structure of KTmMnS3, from Alexandria.

The space group is Cmcm (No. 63) and the conventional cell measures 3.997, 14.353 and 10.519 Å, with angles of 90.00, 90.00 and 90.00 degrees. The distinct sites, in fractional coordinates, are K at (0.000, 0.242, 0.250), Tm at (0.000, 0.500, 0.000), Mn at (0.000, 0.037, 0.750), S at (0.000, 0.121, 0.560) and S at (0.000, 0.440, 0.750).

The calculation puts the formation energy without anion corrections at -1.439 eV per atom. The raw total energy comes out at -0.4380 Ry/atom.